DFT (GGA-PBE) results for a relaxed Na2Er2NpSe6 crystal.

Computed properties:
ρ	5.8	g/cm³
ΔE_f (raw)	-1.51	eV per atom
space group	C2/m (12)
magnetic moment	3.00	μB per cell

abc: 7.1207 7.1207 7.4517
angles: 99.21 99.21 119.93
Closest atoms and distances in Å follow each position.
Fractional coordinates of all 11 atoms:
Na: 0.1678 0.8322 0.0000  6 Se 3.07
Na: 0.8322 0.1678 0.0000  6 Se 3.07
Er: 0.3335 0.6665 0.5000  6 Se 2.85-2.87
Er: 0.6665 0.3335 0.5000  6 Se 2.85-2.87
Np: 0.0000 0.0000 0.5000  6 Se 2.83-2.85
Se: 0.0733 0.4063 0.7241  1 Np 2.85, 2 Er 2.85-2.87, 2 Na 3.07
Se: 0.2552 0.2552 0.2764  1 Np 2.83, 2 Er 2.86, 2 Na 3.07
Se: 0.4063 0.0733 0.7241  1 Np 2.85, 2 Er 2.85-2.87, 2 Na 3.07
Se: 0.5937 0.9267 0.2759  1 Np 2.85, 2 Er 2.85-2.87, 2 Na 3.07
Se: 0.7448 0.7448 0.7236  1 Np 2.83, 2 Er 2.86, 2 Na 3.07
Se: 0.9267 0.5937 0.2759  1 Np 2.85, 2 Er 2.85-2.87, 2 Na 3.07